1.
A geometry-optimized K2Na6Li structure. Source: the Alexandria database, functional PBE-GGA.

The value obtained for the energy of formation is 0.06 eV/atom.

Unit cell a=3.8564 b=10.4552 c=10.4552 alpha=68.41 beta=78.53 gamma=78.53
Element x y z (fractional)
Na 0.8232 0.0200 0.3333
Na 0.5000 0.7582 0.2418
Na 0.1768 0.9800 0.6667
Na 0.1768 0.6667 0.9800
Na 0.8232 0.3333 0.0200
K 0.1272 0.3690 0.3690
Na 0.5000 0.2418 0.7582
Li 0.0000 0.0000 0.0000
K 0.8728 0.6310 0.6310

---

2.
A geometry-optimized Zr2AlP structure. Source: the Alexandria database, functional PBE-GGA.

The value obtained for the energy of formation is -0.36 eV/atom.

Unit cell a=4.7167 b=4.7167 c=4.7167 alpha=60.00 beta=60.00 gamma=60.00
Element x y z (fractional)
Zr 0.2500 0.2500 0.2500
Zr 0.7500 0.7500 0.7500
P 0.5000 0.5000 0.5000
Al 0.0000 0.0000 0.0000

---

3.
A geometry-optimized MgMnTe2 structure. Source: the Alexandria database, functional PBE-GGA.

The energy is -18.694 eV/cell.

Unit cell a=4.1557 b=4.1560 c=5.9242 alpha=90.00 beta=90.00 gamma=90.00
Last column: magnetic moment on the atom in μB.
Element x y z (fractional)
Te 0.0000 0.0000 0.8751  0.05
Mn 0.5000 0.5000 0.8747  4.25
Te 0.5000 0.5000 0.3749  0.04
Mg 0.0000 0.0000 0.3753  0.01

---

4.
A geometry-optimized Ho3Mg3Zr2 structure. Source: the Alexandria database, functional PBE-GGA.

The value obtained for the energy of formation is -0.01 eV/atom.

Unit cell a=3.5121 b=5.3101 c=11.4488 alpha=103.41 beta=98.82 gamma=90.00
Element x y z (fractional)
Zr 0.7374 0.2374 0.4749
Mg 0.1202 0.1202 0.2404
Mg 0.0000 0.5000 0.0000
Ho 0.5000 0.0000 0.0000
Ho 0.3658 0.3658 0.7317
Zr 0.2626 0.7626 0.5251
Mg 0.8798 0.8798 0.7596
Ho 0.6342 0.6342 0.2683

---

5.
A geometry-optimized Er2SnAu4 structure. Source: the Alexandria database, functional PBE-GGA.

The value obtained for the energy of formation is -0.60 eV/atom.

Unit cell a=4.8752 b=4.8752 c=8.4032 alpha=73.14 beta=73.14 gamma=60.00
Element x y z (fractional)
Au 0.1284 0.1284 0.6149
Au 0.3803 0.3803 0.8592
Sn 0.0000 0.0000 0.0000
Er 0.2498 0.2498 0.2507
Au 0.6197 0.6197 0.1408
Au 0.8716 0.8716 0.3851
Er 0.7502 0.7502 0.7493

---

6.
A geometry-optimized Mn3BeCd structure. Source: the Alexandria database, functional PBE-GGA.

The value obtained for the energy of formation is 0.50 eV/atom.

Unit cell a=4.1836 b=4.1836 c=4.1836 alpha=90.00 beta=90.00 gamma=90.00
Last column: magnetic moment on the atom in μB.
Element x y z (fractional)
Be 0.0000 0.0000 0.0000  -0.17
Mn 0.5000 0.0000 0.0000  2.79
Mn 0.0000 0.0000 0.5000  3.39
Cd 0.5000 0.5000 0.5000  -0.10
Mn 0.0000 0.5000 0.0000  3.02